(1)
Computed, not measured: La3Re2N6 after structural relaxation at the PBE level of DFT.

calculated volume	14.11	Å³ per atom
total DFT energy (no corrections)	-9.075	eV per atom
ρ	9.34	g/cm3

CIF file:
```
data_La3Re2N6
_chemical_formula_sum 'La6 Re4 N12'
_cell_length_a 3.943
_cell_length_b 3.943
_cell_length_c 19.962
_cell_angle_alpha 90.00
_cell_angle_beta 90.00
_cell_angle_gamma 90.00
_space_group_name_H-M_alt 'I 4/m m m'
_space_group_IT_number 139
_space_group_name_Hall '-I 4 2'
loop_
_atom_site_label
_atom_site_type_symbol
_atom_site_fract_x
_atom_site_fract_y
_atom_site_fract_z
La1 La 0.000 0.000 0.000
La2 La 0.000 0.000 0.185
Re1 Re 0.000 0.000 0.407
N1 N 0.000 0.000 0.303
N2 N 0.000 0.500 0.088
```

(2)
Computed, not measured: La3Re3W2N12 after structural relaxation at the PBE level of DFT.

calculated volume	13.83	Å³ per atom
total DFT energy (no corrections)	-9.536	eV per atom
ρ	9.07	g/cm3

CIF file:
```
data_La3Re3W2N12
_chemical_formula_sum 'La24 Re24 W16 N96'
_cell_length_a 13.031
_cell_length_b 13.031
_cell_length_c 13.031
_cell_angle_alpha 90.00
_cell_angle_beta 90.00
_cell_angle_gamma 90.00
_space_group_name_H-M_alt 'I a -3 d'
_space_group_IT_number 230
_space_group_name_Hall '-I 4bd 2c 3'
loop_
_atom_site_label
_atom_site_type_symbol
_atom_site_fract_x
_atom_site_fract_y
_atom_site_fract_z
La1 La 0.000 0.250 0.125
Re1 Re 0.000 0.250 0.375
W1 W 0.000 0.000 0.000
N1 N 0.035 0.043 0.648
```

(3)
Computed, not measured: La3Re2W3N12 after structural relaxation at the PBE level of DFT.

calculated volume	13.82	Å³ per atom
total DFT energy (no corrections)	-9.598	eV per atom
ρ	9.06	g/cm3

CIF file:
```
data_La3Re2W3N12
_chemical_formula_sum 'La24 Re16 W24 N96'
_cell_length_a 13.029
_cell_length_b 13.029
_cell_length_c 13.029
_cell_angle_alpha 90.00
_cell_angle_beta 90.00
_cell_angle_gamma 90.00
_space_group_name_H-M_alt 'I a -3 d'
_space_group_IT_number 230
_space_group_name_Hall '-I 4bd 2c 3'
loop_
_atom_site_label
_atom_site_type_symbol
_atom_site_fract_x
_atom_site_fract_y
_atom_site_fract_z
La1 La 0.000 0.250 0.125
Re1 Re 0.000 0.000 0.000
W1 W 0.000 0.250 0.375
N1 N 0.034 0.044 0.646
```

(4)
Computed, not measured: La3Sb3W2N12 after structural relaxation at the PBE level of DFT.

calculated volume	14.14	Å³ per atom
total DFT energy (no corrections)	-8.009	eV per atom
ρ	7.74	g/cm3

CIF file:
```
data_La3Sb3W2N12
_chemical_formula_sum 'La24 Sb24 W16 N96'
_cell_length_a 13.127
_cell_length_b 13.127
_cell_length_c 13.127
_cell_angle_alpha 90.00
_cell_angle_beta 90.00
_cell_angle_gamma 90.00
_space_group_name_H-M_alt 'I a -3 d'
_space_group_IT_number 230
_space_group_name_Hall '-I 4bd 2c 3'
loop_
_atom_site_label
_atom_site_type_symbol
_atom_site_fract_x
_atom_site_fract_y
_atom_site_fract_z
La1 La 0.000 0.250 0.125
Sb1 Sb 0.000 0.250 0.375
W1 W 0.000 0.000 0.000
N1 N 0.030 0.053 0.643
```

(5)
Computed, not measured: La2SmTa2N6 after structural relaxation at the PBE level of DFT.

calculated volume	14.79	Å³ per atom
total DFT energy (no corrections)	-9.431	eV per atom
ρ	8.92	g/cm3

CIF file:
```
data_La2SmTa2N6
_chemical_formula_sum 'La4 Sm2 Ta4 N12'
_cell_length_a 4.052
_cell_length_b 4.052
_cell_length_c 19.816
_cell_angle_alpha 90.00
_cell_angle_beta 90.00
_cell_angle_gamma 90.00
_space_group_name_H-M_alt 'I 4/m m m'
_space_group_IT_number 139
_space_group_name_Hall '-I 4 2'
loop_
_atom_site_label
_atom_site_type_symbol
_atom_site_fract_x
_atom_site_fract_y
_atom_site_fract_z
La1 La 0.000 0.000 0.180
Sm1 Sm 0.000 0.000 0.000
Ta1 Ta 0.000 0.000 0.402
N1 N 0.000 0.000 0.303
N2 N 0.000 0.500 0.082
```

(6)
Computed, not measured: LaSm2Ta2N6 after structural relaxation at the PBE level of DFT.

calculated volume	14.63	Å³ per atom
total DFT energy (no corrections)	-9.380	eV per atom
ρ	9.14	g/cm3

CIF file:
```
data_LaSm2Ta2N6
_chemical_formula_sum 'La2 Sm4 Ta4 N12'
_cell_length_a 4.048
_cell_length_b 4.048
_cell_length_c 19.639
_cell_angle_alpha 90.00
_cell_angle_beta 90.00
_cell_angle_gamma 90.00
_space_group_name_H-M_alt 'I 4/m m m'
_space_group_IT_number 139
_space_group_name_Hall '-I 4 2'
loop_
_atom_site_label
_atom_site_type_symbol
_atom_site_fract_x
_atom_site_fract_y
_atom_site_fract_z
La1 La 0.000 0.000 0.000
Sm1 Sm 0.000 0.000 0.179
Ta1 Ta 0.000 0.000 0.396
N1 N 0.000 0.000 0.298
N2 N 0.000 0.500 0.087
```

(7)
Computed, not measured: LaTa2N4 after structural relaxation at the PBE level of DFT.

calculated volume	12.42	Å³ per atom
total DFT energy (no corrections)	-10.112	eV per atom
ρ	10.63	g/cm3

CIF file:
```
data_LaTa2N4
_chemical_formula_sum 'La4 Ta8 N16'
_cell_length_a 3.190
_cell_length_b 10.333
_cell_length_c 10.553
_cell_angle_alpha 90.00
_cell_angle_beta 90.00
_cell_angle_gamma 90.00
_space_group_name_H-M_alt 'C m c m'
_space_group_IT_number 63
_space_group_name_Hall '-C 2c 2'
loop_
_atom_site_label
_atom_site_type_symbol
_atom_site_fract_x
_atom_site_fract_y
_atom_site_fract_z
La1 La 0.000 0.116 0.250
Ta1 Ta 0.000 0.370 0.065
N1 N 0.000 0.000 0.000
N2 N 0.000 0.263 0.607
N3 N 0.000 0.427 0.250
```

(8)
Computed, not measured: LaTaN3 after structural relaxation at the PBE level of DFT.

calculated volume	13.62	Å³ per atom
total DFT energy (no corrections)	-9.514	eV per atom
ρ	8.82	g/cm3

CIF file:
```
data_LaTaN3
_chemical_formula_sum 'La4 Ta4 N12'
_cell_length_a 7.069
_cell_length_b 5.721
_cell_length_c 8.301
_cell_angle_alpha 90.00
_cell_angle_beta 125.75
_cell_angle_gamma 90.00
_space_group_name_H-M_alt 'P 1 21/c 1'
_space_group_IT_number 14
_space_group_name_Hall '-P 2ybc'
loop_
_atom_site_label
_atom_site_type_symbol
_atom_site_fract_x
_atom_site_fract_y
_atom_site_fract_z
La1 La 0.240 0.245 0.123
Ta1 Ta 0.229 0.727 0.360
N1 N 0.063 0.039 0.292
N2 N 0.272 0.735 0.638
N3 N 0.420 0.099 0.962
```

(9)
Computed, not measured: La2TcN3 after structural relaxation at the PBE level of DFT.

calculated volume	15.33	Å³ per atom
total DFT energy (no corrections)	-8.533	eV per atom
ρ	7.54	g/cm3

CIF file:
```
data_La2TcN3
_chemical_formula_sum 'La4 Tc2 N6'
_cell_length_a 3.572
_cell_length_b 3.930
_cell_length_c 13.105
_cell_angle_alpha 90.00
_cell_angle_beta 90.00
_cell_angle_gamma 90.00
_space_group_name_H-M_alt 'I m m m'
_space_group_IT_number 71
_space_group_name_Hall '-I 2 2'
loop_
_atom_site_label
_atom_site_type_symbol
_atom_site_fract_x
_atom_site_fract_y
_atom_site_fract_z
La1 La 0.000 0.000 0.148
Tc1 Tc 0.000 0.000 0.500
N1 N 0.000 0.000 0.341
N2 N 0.000 0.500 0.500
```

(10)
Computed, not measured: LaTcN3 after structural relaxation at the PBE level of DFT.

calculated volume	16.04	Å³ per atom
total DFT energy (no corrections)	-8.656	eV per atom
ρ	5.77	g/cm3

CIF file:
```
data_LaTcN3
_chemical_formula_sum 'La8 Tc8 N24'
_cell_length_a 10.661
_cell_length_b 10.158
_cell_length_c 6.223
_cell_angle_alpha 90.00
_cell_angle_beta 107.79
_cell_angle_gamma 90.00
_space_group_name_H-M_alt 'C 1 2/c 1'
_space_group_IT_number 15
_space_group_name_Hall '-C 2yc'
loop_
_atom_site_label
_atom_site_type_symbol
_atom_site_fract_x
_atom_site_fract_y
_atom_site_fract_z
La1 La 0.000 0.094 0.250
La2 La 0.000 0.325 0.750
Tc1 Tc 0.209 0.409 0.252
N1 N 0.115 0.116 0.660
N2 N 0.122 0.261 0.140
N3 N 0.153 0.482 0.492
```

(11)
Computed, not measured: La3TcN5 after structural relaxation at the PBE level of DFT.

calculated volume	15.28	Å³ per atom
total DFT energy (no corrections)	-8.436	eV per atom
ρ	7.06	g/cm3

CIF file:
```
data_La3TcN5
_chemical_formula_sum 'La12 Tc4 N20'
_cell_length_a 6.881
_cell_length_b 6.881
_cell_length_c 11.620
_cell_angle_alpha 90.00
_cell_angle_beta 90.00
_cell_angle_gamma 90.00
_space_group_name_H-M_alt 'I 4/m c m'
_space_group_IT_number 140
_space_group_name_Hall '-I 4 2c'
loop_
_atom_site_label
_atom_site_type_symbol
_atom_site_fract_x
_atom_site_fract_y
_atom_site_fract_z
La1 La 0.000 0.000 0.250
La2 La 0.173 0.327 0.000
Tc1 Tc 0.000 0.500 0.250
N1 N 0.000 0.000 0.000
N2 N 0.148 0.352 0.348
```